DFT (PBE-GGA) results for crystalline AcCrNi4 at its relaxed geometry.

Structure (CIF):
```
data_AcCrNi4
_chemical_formula_sum 'Ac1 Cr1 Ni4'
_space_group_name_H-M_alt 'P 1'
_space_group_IT_number 1
_cell_length_a 5.071
_cell_length_b 5.071
_cell_length_c 5.071
_cell_angle_alpha 60.00
_cell_angle_beta 60.00
_cell_angle_gamma 60.00
loop_
_space_group_symop_operation_xyz
'x,y,z'
loop_
_atom_site_label
_atom_site_type_symbol
_atom_site_fract_x
_atom_site_fract_y
_atom_site_fract_z
Ac1 Ac 0.000 0.000 0.000
Cr1 Cr 0.250 0.250 0.250
Ni1 Ni 0.130 0.623 0.623
Ni2 Ni 0.623 0.130 0.623
Ni3 Ni 0.623 0.623 0.130
Ni4 Ni 0.623 0.623 0.623
```

Properties
The total energy is -6.10 eV/atom. The calculation puts the formation energy at 0.0461 eV/atom.

---

DFT (PBE-GGA) results for crystalline Ac2CrNi9 at its relaxed geometry.

Structure (CIF):
```
data_Ac2CrNi9
_chemical_formula_sum 'Ac2 Cr1 Ni9'
_space_group_name_H-M_alt 'P 1'
_space_group_IT_number 1
_cell_length_a 8.925
_cell_length_b 8.925
_cell_length_c 8.925
_cell_angle_alpha 32.57
_cell_angle_beta 32.57
_cell_angle_gamma 32.57
loop_
_space_group_symop_operation_xyz
'x,y,z'
loop_
_atom_site_label
_atom_site_type_symbol
_atom_site_fract_x
_atom_site_fract_y
_atom_site_fract_z
Ac1 Ac 0.132 0.132 0.132
Ac2 Ac 0.868 0.868 0.868
Cr1 Cr 0.000 0.000 0.000
Ni1 Ni 0.078 0.575 0.575
Ni2 Ni 0.333 0.333 0.333
Ni3 Ni 0.425 0.425 0.922
Ni4 Ni 0.425 0.922 0.425
Ni5 Ni 0.500 0.500 0.500
Ni6 Ni 0.575 0.078 0.575
Ni7 Ni 0.575 0.575 0.078
Ni8 Ni 0.667 0.667 0.667
Ni9 Ni 0.922 0.425 0.425
```

Properties
The total energy is -5.80 eV/atom. The calculation puts the formation energy at 0.0271 eV/atom.

---

Number 1: total moment 5.2 μB per formula unit. Number 2: total moment 6.5 μB per formula unit.